No. 1
Here is LiPRu2 at its PBEsol-relaxed geometry from the Alexandria database. Energies are from meta-GGA SCAN.

Results
As for the density of states at the Fermi level: 2.71 states/eV/f.u. The calculation puts the total energy at -20.66 eV per atom.

The structure in POSCAR format:
```
LiPRu2
1.0
2.7406 0.0000 0.0000
0.0000 2.7406 0.0000
0.0000 0.0000 7.2287
Li P Ru
1 1 2
Cartesian
0.0000 0.0000 0.0000
1.3703 1.3703 1.9298
0.0000 0.0000 3.3391
1.3703 1.3703 5.1815
```



No. 2
Here is LiPRu2 at its PBEsol-relaxed geometry from the Alexandria database. Energies are from meta-GGA SCAN.

Results
As for the density of states at the Fermi level: 1.57 states/eV/f.u. The calculation puts the total energy at -20.75 eV per atom.

The structure in POSCAR format:
```
LiPRu2
1.0
1.4116 0.8150 7.8056
-1.4116 0.8150 7.8056
0.0000 -1.6300 7.8056
Li P Ru
1 1 2
Cartesian
0.0000 0.0000 0.0000
0.0000 0.0000 11.7084
0.0000 0.0000 5.5683
0.0000 0.0000 17.8484
```



No. 3
Here is LiTlPRu2 at its PBEsol-relaxed geometry from the Alexandria database. Energies are from meta-GGA SCAN.

Results
As for the density of states at the Fermi level: 3.49 states/eV/f.u. The calculation puts the total energy at -29.27 eV per atom.

The structure in POSCAR format:
```
LiTlPRu2
1.0
4.9237 0.0000 0.0000
0.0000 4.9237 0.0000
0.0000 0.0000 4.3430
Li Tl P Ru
1 1 1 2
Cartesian
0.0000 0.0000 0.0000
0.0000 0.0000 2.1715
2.4618 2.4618 0.0000
0.0000 2.4618 2.1715
2.4618 0.0000 2.1715
```



No. 4
Here is Li3PS4 at its PBEsol-relaxed geometry from the Alexandria database. Energies are from meta-GGA SCAN.

Results
As for the density of states at the Fermi level: 0.00 states/eV/f.u. The calculation puts the total energy at -8.08 eV per atom.

The structure in POSCAR format:
```
Li3PS4
1.0
13.5185 0.0000 0.0000
0.0000 7.6127 0.0000
0.0000 0.0000 6.1372
Li P S
12 4 16
Cartesian
0.9943 1.9032 1.4536
2.0882 0.0471 4.9203
2.0882 3.7593 4.9203
4.6710 3.8534 1.8517
4.6710 7.5656 1.8517
5.7649 5.7095 4.5222
7.7536 1.9032 1.6150
8.8475 0.0471 4.2855
8.8475 3.7593 4.2855
11.4303 3.8534 1.2169
11.4303 7.5656 1.2169
12.5242 5.7095 4.6836
1.3292 5.7095 1.8413
5.4300 1.9032 4.9099
8.0885 5.7095 1.2273
12.1893 1.9032 4.2959
0.5555 1.9032 5.0795
1.2409 5.7095 3.8952
2.3303 4.0333 1.2274
2.3303 7.3857 1.2274
4.4289 0.2269 4.2960
4.4289 3.5794 4.2960
5.5183 1.9032 0.8266
6.2037 5.7095 2.0109
7.3148 1.9032 4.1263
8.0002 5.7095 5.3106
9.0896 4.0333 1.8412
9.0896 7.3857 1.8412
11.1882 0.2269 4.9098
11.1882 3.5794 4.9098
12.2776 1.9032 2.2420
12.9630 5.7095 1.0577
```



No. 5
Here is Li7P3S11 at its PBEsol-relaxed geometry from the Alexandria database. Energies are from meta-GGA SCAN.

Results
As for the density of states at the Fermi level: 0.00 states/eV/f.u. The calculation puts the total energy at -8.31 eV per atom.

The structure in POSCAR format:
```
Li7P3S11
1.0
6.1847 0.0000 0.0000
-2.5655 11.8269 0.0000
-2.7227 -4.4217 11.2723
Li P S
14 6 22
Cartesian
-1.0383 2.1893 3.3473
-3.0110 3.3132 9.9770
-0.9001 -2.9646 8.4250
-1.7095 -0.0637 10.1681
-1.1922 5.7118 5.6682
-0.9838 8.3341 3.3660
1.8291 1.0454 1.3068
-0.9326 6.3599 9.9655
1.8803 -0.9288 7.9063
2.0886 1.6934 5.6041
2.6060 7.4690 1.1042
1.7966 10.3699 2.8473
3.9074 4.0921 1.2953
1.9348 5.2160 7.9250
-1.4015 9.5980 0.6812
-0.9756 0.2073 6.1755
0.9629 4.3760 3.0664
-0.0664 3.0293 8.2058
1.8721 7.1980 5.0968
2.2979 -2.1927 10.5911
-1.8178 -0.7920 7.7077
-3.1090 7.0541 6.7471
-1.0314 7.6021 0.9886
-1.8583 -2.4907 10.6168
-1.0220 4.7454 3.3432
-3.3125 5.7671 10.1654
-1.1145 2.3379 6.4895
-0.6438 10.6151 2.2937
0.8803 -0.4033 5.7596
-0.8262 2.2804 9.9173
1.3747 2.3932 3.3304
-0.4783 5.0120 7.9419
1.7227 5.1249 1.3550
0.0162 7.8085 5.5126
1.5402 -3.2098 8.9786
2.0110 5.0674 4.7828
4.2090 1.6381 1.1068
1.9185 2.6599 7.9291
2.7548 9.8960 0.6555
1.9279 -0.1968 10.2837
4.0055 0.3511 4.5252
2.7143 8.1973 3.5645
```



No. 6
Here is Li3PS4 at its PBEsol-relaxed geometry from the Alexandria database. Energies are from meta-GGA SCAN.

Results
As for the density of states at the Fermi level: 0.00 states/eV/f.u. The calculation puts the total energy at -8.09 eV per atom.

The structure in POSCAR format:
```
Li3PS4
1.0
-2.7753 2.7753 4.9625
2.7753 -2.7753 4.9625
2.7753 2.7753 -4.9625
Li P S
3 1 4
Cartesian
0.0000 0.0000 0.0000
2.7753 0.0000 2.4812
0.0000 2.7753 2.4812
0.0000 0.0000 4.9625
1.1874 -1.1874 3.7846
1.5879 1.5879 1.1779
-1.1874 1.1874 3.7846
1.1874 1.1874 6.1404
```



Repeat the first record exactly.
Here is LiPRu2 at its PBEsol-relaxed geometry from the Alexandria database. Energies are from meta-GGA SCAN.

Results
As for the density of states at the Fermi level: 2.71 states/eV/f.u. The calculation puts the total energy at -20.66 eV per atom.

The structure in POSCAR format:
```
LiPRu2
1.0
2.7406 0.0000 0.0000
0.0000 2.7406 0.0000
0.0000 0.0000 7.2287
Li P Ru
1 1 2
Cartesian
0.0000 0.0000 0.0000
1.3703 1.3703 1.9298
0.0000 0.0000 3.3391
1.3703 1.3703 5.1815
```



Repeat the first record exactly.
Here is LiPRu2 at its PBEsol-relaxed geometry from the Alexandria database. Energies are from meta-GGA SCAN.

Results
As for the density of states at the Fermi level: 2.71 states/eV/f.u. The calculation puts the total energy at -20.66 eV per atom.

The structure in POSCAR format:
```
LiPRu2
1.0
2.7406 0.0000 0.0000
0.0000 2.7406 0.0000
0.0000 0.0000 7.2287
Li P Ru
1 1 2
Cartesian
0.0000 0.0000 0.0000
1.3703 1.3703 1.9298
0.0000 0.0000 3.3391
1.3703 1.3703 5.1815
```